# CrIn2Ge2 (PBE, optimized geometry)
# energy of formation	0.2344	eV/atom
data_CrIn2Ge2
_chemical_formula_sum 'Cr2 In4 Ge4'
_cell_length_a 6.659
_cell_length_b 6.659
_cell_length_c 4.768
_cell_angle_alpha 90.00
_cell_angle_beta 90.00
_cell_angle_gamma 90.00
_symmetry_space_group_name_H-M 'P 4/m b m'
_symmetry_Int_Tables_number 127
_symmetry_space_group_name_Hall '-P 4 2ab'
loop_
_atom_site_label
_atom_site_type_symbol
_atom_site_fract_x
_atom_site_fract_y
_atom_site_fract_z
Cr1 Cr 0.000 0.000 0.000
In1 In 0.181 0.319 0.500
Ge1 Ge 0.137 0.637 0.000